Material: Zr2PaAl2Ru5
Method: DFT, PBE
State: relaxed Values from VASP.

Summary:
- Space-group type: P4/mbm
- ΔE_f: -5.79 eV per formula unit

Structure (Quantum ESPRESSO input):
```
&SYSTEM
  ibrav = 0, nat = 20, ntyp = 4
/
ATOMIC_SPECIES
Ru 101.07 Ru.upf
Pa 231.04 Pa.upf
Al 26.98 Al.upf
Zr 91.22 Zr.upf
ATOMIC_POSITIONS crystal
Ru 0.5000 0.9272 0.2045
Ru 0.5000 0.0000 0.5000
Ru 0.5000 0.7045 0.4272
Ru 0.5000 0.0728 0.7955
Ru 0.5000 0.5728 0.7045
Ru 0.5000 0.7955 0.9272
Ru 0.5000 0.4272 0.2955
Ru 0.5000 0.5000 0.0000
Ru 0.5000 0.2955 0.5728
Ru 0.5000 0.2045 0.0728
Pa 0.0000 0.0000 0.0000
Pa 0.0000 0.5000 0.5000
Al 0.0000 0.1267 0.6267
Al 0.0000 0.8733 0.3733
Al 0.0000 0.6267 0.8733
Al 0.0000 0.3733 0.1267
Zr 0.0000 0.1692 0.3308
Zr 0.0000 0.3308 0.8308
Zr 0.0000 0.8308 0.6692
Zr 0.0000 0.6692 0.1692
CELL_PARAMETERS angstrom
-1.0985 0.2180 -3.3365
-4.2134 -8.7925 0.8128
-8.2852 4.2480 3.0052
```